Crystalline Ni5Os4 at its relaxed geometry, computed with PBE.

Unit cell a=7.1959 b=7.1959 c=5.0960 alpha=90.00 beta=90.00 gamma=120.00
Space group P6_3/mcm (No. 193)
Unique sites:
Ni 0.0000 0.3206 0.2500
Ni 0.3333 0.6667 0.0000
Os 0.0000 0.0000 0.0000
Os 0.0000 0.3484 0.7500

## Properties
Relative energy among the computed polymorphs = 262 meV/atom
M_tot = 0.01 μB/cell
Calculated volume = 228.5 Å³/cell
Density = 15.32 g/cm3
E = -7.783 eV per atom
Energy relative to the elements = 420 meV per atom

=====

Crystalline YZn8Ni2 at its relaxed geometry, computed with PBE.

Unit cell a=6.2650 b=6.2650 c=5.1071 alpha=90.00 beta=90.00 gamma=90.00
Space group P4/mmm (No. 123)
Unique sites:
Y 0.0000 0.0000 0.0000
Zn 0.2908 0.2908 0.2558
Ni 0.0000 0.5000 0.5000

## Properties
M_tot = 0.00 μB/cell
Calculated volume = 200.5 Å³/cell
Density = 6.04 g/cm3
E = -2.453 eV per atom
Energy relative to the elements = 112 meV per atom

=====

Crystalline LiLuOsRu at its relaxed geometry, computed with PBE.

Unit cell a=6.3533 b=6.3533 c=6.3533 alpha=90.00 beta=90.00 gamma=90.00
Space group F-43m (No. 216)
Unique sites:
Li 0.0000 0.0000 0.0000
Lu 0.2500 0.2500 0.2500
Os 0.0000 0.0000 0.5000
Ru 0.2500 0.2500 0.7500

## Properties
M_tot = 0.00 μB/cell
Calculated volume = 256.4 Å³/cell
Density = 12.26 g/cm3
E = -6.682 eV per atom
Energy relative to the elements = 53 meV per atom

=====

Crystalline Tb6Dy2Er3Mg at its relaxed geometry, computed with PBE.

Unit cell a=6.1022 b=10.5777 c=11.6276 alpha=90.00 beta=100.15 gamma=90.00
Space group C2/m (No. 12)
Unique sites:
Tb 0.2490 0.1664 0.2496
Tb 0.2504 0.0000 0.7492
Dy 0.0000 0.3337 0.0000
Er 0.0000 0.1661 0.5000
Er 0.0000 0.5000 0.5000
Mg 0.0000 0.0000 0.0000

## Properties
M_tot = 0.00 μB/cell
Calculated volume = 738.8 Å³/cell
Density = 8.11 g/cm3
E = -4.331 eV per atom
Energy relative to the elements = 25 meV per atom

=====

Crystalline SrPd3Pt at its relaxed geometry, computed with PBE.

Unit cell a=5.0071 b=5.0071 c=5.0071 alpha=90.00 beta=90.00 gamma=90.00
Space group Pm-3m (No. 221)
Unique sites:
Sr 0.0000 0.0000 0.0000
Pd 0.0000 0.0000 0.5000
Pt 0.5000 0.5000 0.5000

## Properties
Relative energy among the computed polymorphs = 1605 meV/atom
M_tot = 0.00 μB/cell
Calculated volume = 125.5 Å³/cell
Density = 7.96 g/cm3
E = -3.374 eV per atom
Energy relative to the elements = 1287 meV per atom

=====

Crystalline Nd6InNi2 at its relaxed geometry, computed with PBE.

Unit cell a=9.4921 b=10.1700 c=10.5398 alpha=90.00 beta=90.00 gamma=90.00
Space group Immm (No. 71)
Unique sites:
Nd 0.0000 0.2020 0.2300
Nd 0.1910 0.5000 0.1775
Nd 0.2059 0.3162 0.5000
In 0.0000 0.0000 0.0000
In 0.0000 0.0000 0.5000
Ni 0.0000 0.3598 0.0000
Ni 0.0000 0.5000 0.3814

## Properties
M_tot = 0.00 μB/cell
Calculated volume = 1017.5 Å³/cell
Density = 7.17 g/cm3
E = -5.027 eV per atom
Energy relative to the elements = -260 meV per atom

=====

Crystalline MgTl2Fe at its relaxed geometry, computed with PBE.

Unit cell a=6.7080 b=7.5118 c=3.4004 alpha=90.00 beta=90.00 gamma=90.00
Space group Cmmm (No. 65)
Unique sites:
Mg 0.0000 0.0000 0.0000
Tl 0.2500 0.2500 0.5000
Fe 0.0000 0.5000 0.0000

## Properties
Relative energy among the computed polymorphs = 87 meV/atom
M_tot = 5.83 μB/cell
Calculated volume = 171.3 Å³/cell
Density = 9.48 g/cm3
E = -3.285 eV per atom
Energy relative to the elements = 413 meV per atom

=====

Crystalline AgAsW2 at its relaxed geometry, computed with PBE.

Unit cell a=2.7940 b=4.3542 c=5.6259 alpha=90.00 beta=104.23 gamma=90.00
Space group P2/m (No. 10)
Unique sites:
Ag 0.0000 0.0000 0.0000
As 0.5000 0.0000 0.5000
W 0.4393 0.5000 0.7449

## Properties
M_tot = 0.00 μB/cell
Calculated volume = 66.3 Å³/cell
Density = 13.78 g/cm3
E = -7.760 eV per atom
Energy relative to the elements = 591 meV per atom

=====

Crystalline ZrNi2As at its relaxed geometry, computed with PBE.

Unit cell a=3.3695 b=3.3695 c=5.3855 alpha=90.00 beta=90.00 gamma=90.00
Space group P4/mmm (No. 123)
Unique sites:
Zr 0.0000 0.0000 0.0000
Ni 0.5000 0.5000 0.2495
As 0.0000 0.0000 0.5000

## Properties
M_tot = 0.00 μB/cell
Calculated volume = 61.1 Å³/cell
Density = 7.70 g/cm3
E = -6.577 eV per atom
Energy relative to the elements = -387 meV per atom

=====

Crystalline TlSiAs4 at its relaxed geometry, computed with PBE.

Unit cell a=8.1179 b=8.1179 c=8.1179 alpha=90.00 beta=90.00 gamma=90.00
Space group F-43m (No. 216)
Unique sites:
Tl 0.0000 0.0000 0.0000
Si 0.2500 0.2500 0.2500
As 0.1177 0.1177 0.6177

## Properties
M_tot = 0.00 μB/cell
Calculated volume = 535.0 Å³/cell
Density = 6.61 g/cm3
E = -3.884 eV per atom

=====

Crystalline Y3AlF at its relaxed geometry, computed with PBE.

Unit cell a=4.8193 b=4.8193 c=4.8193 alpha=90.00 beta=90.00 gamma=90.00
Space group Pm-3m (No. 221)
Unique sites:
Y 0.0000 0.0000 0.5000
Al 0.5000 0.5000 0.5000
F 0.0000 0.0000 0.0000

## Properties
Relative energy among the computed polymorphs = 0 meV/atom
M_tot = 0.00 μB/cell
Calculated volume = 111.9 Å³/cell
Density = 4.64 g/cm3
E = -5.990 eV per atom

=====

Crystalline Ca6ZnIn5 at its relaxed geometry, computed with PBE.

Unit cell a=5.4073 b=16.2592 c=7.6915 alpha=90.00 beta=90.00 gamma=90.00
Space group Cmmm (No. 65)
Unique sites:
Ca 0.0000 0.0000 0.2437
Ca 0.0000 0.3366 0.2476
Zn 0.0000 0.5000 0.0000
In 0.0000 0.1682 0.5000
In 0.0000 0.1687 0.0000
In 0.0000 0.5000 0.5000

## Properties
M_tot = 0.00 μB/cell
Calculated volume = 676.2 Å³/cell
Density = 4.32 g/cm3
E = -2.678 eV per atom
Energy relative to the elements = -430 meV per atom